Entry 1:
A relaxed structure of VS2, computed with PBE.

Lattice parameters (Å, degrees): 2.8964 2.8964 12.6329 90.00 90.00 90.00
With the nearest neighbours (Å) after each atom.
Space group I4/mmm (No. 139)
Symmetry-distinct sites (fractional):
V1 0.0000 0.0000 0.0000 [2 per cell]  8 S 2.49
S1 0.0000 0.0000 0.3877 [4 per cell]  4 V 2.49

Output
Crystal system: tetragonal

Entry 2:
A relaxed structure of VS2, computed with PBE.

Lattice parameters (Å, degrees): 3.1873 3.1874 6.6329 82.11 82.92 60.03
With the nearest neighbours (Å) after each atom.
Space group P-1 (No. 2)
Symmetry-distinct sites (fractional):
V1 0.0000 0.0000 0.0000 [1 per cell]  6 S 2.35-2.36
S1 0.2990 0.2869 0.2241 [2 per cell]  3 V 2.35-2.36

Output
Crystal system: triclinic

Entry 3:
A relaxed structure of VS, computed with PBE.

Lattice parameters (Å, degrees): 5.4884 5.7548 7.5365 90.00 90.00 90.00
With the nearest neighbours (Å) after each atom.
Space group P2_12_12_1 (No. 19)
Symmetry-distinct sites (fractional):
V1 0.0575 0.1203 0.2956 [4 per cell]  4 S 2.27-2.32
V2 0.0633 0.3033 0.9463 [4 per cell]  5 S 2.31-2.54
S1 0.1952 0.5691 0.7173 [4 per cell]  4 V 2.27-2.42
S2 0.2091 0.9384 0.0435 [4 per cell]  4 V 2.29-2.45

Output
Crystal system: orthorhombic

Entry 4:
A relaxed structure of VS, computed with PBE.

Lattice parameters (Å, degrees): 3.1524 3.1524 6.4543 90.00 90.00 120.00
With the nearest neighbours (Å) after each atom.
Space group P6_3/mmc (No. 194)
Symmetry-distinct sites (fractional):
V1 0.3333 0.6667 0.2500 [2 per cell]  6 S 2.43
S1 0.0000 0.0000 0.0000 [2 per cell]  6 V 2.43

Output
Crystal system: hexagonal

Entry 5:
A relaxed structure of VS, computed with PBE.

Lattice parameters (Å, degrees): 5.3617 5.3617 5.3617 90.00 90.00 90.00
With the nearest neighbours (Å) after each atom.
Space group F-43m (No. 216)
Symmetry-distinct sites (fractional):
V1 0.0000 0.0000 0.0000 [4 per cell]  4 S 2.32
S1 0.2500 0.2500 0.2500 [4 per cell]  4 V 2.32

Output
Crystal system: cubic

Entry 6:
A relaxed structure of VS, computed with PBE.

Lattice parameters (Å, degrees): 3.1105 3.1105 7.5654 90.00 90.00 120.00
With the nearest neighbours (Å) after each atom.
Space group P6_3mc (No. 186)
Symmetry-distinct sites (fractional):
V1 0.3333 0.6667 0.0000 [2 per cell]  4 S 2.30-2.35
S1 0.3333 0.6667 0.6892 [2 per cell]  4 V 2.30-2.35

Output
Crystal system: hexagonal

Number 1: E_form (uncorrected) -0.53 eV per atom, raw total energy -6.3261 eV per atom. Number 2: E_form (uncorrected) -0.86 eV per atom, raw total energy -6.6468 eV per atom. Number 3: E_form (uncorrected) -0.71 eV per atom, raw total energy -7.3361 eV per atom. Number 4: E_form (uncorrected) -0.55 eV per atom, raw total energy -7.1761 eV per atom. Number 5: E_form (uncorrected) -0.59 eV per atom, raw total energy -7.2152 eV per atom. Number 6: E_form (uncorrected) -0.52 eV per atom, raw total energy -7.1417 eV per atom.